[1]
A geometry-optimized SmErPb structure. Source: the Alexandria database, functional PBE.

Lattice parameters (Å, degrees): 4.6386 4.6386 9.1173 104.73 104.73 90.01
Closest atoms and distances in Å follow each position.
Fractional coordinates of all 6 atoms:
Sm (0.3249, 0.3249, 0.6498)  5 Pb 3.23-3.35
Pb (0.1352, 0.1352, 0.2705)  5 Sm 3.23-3.35, 4 Er 3.27
Pb (0.8648, 0.8648, 0.7295)  5 Sm 3.23-3.35, 4 Er 3.27
Er (0.0000, 0.5000, 0.0000)  4 Pb 3.27, 4 Er 3.28
Er (0.5000, 0.0000, 0.0000)  4 Pb 3.27, 4 Er 3.28
Sm (0.6751, 0.6751, 0.3502)  5 Pb 3.23-3.35

## Properties
E_form: -444 meV per atom
Space-group type: I4/mmm (139)
Excess energy over the best structure of this formula in the dataset: 0.0000 eV/atom

[2]
A geometry-optimized SmErPb structure. Source: the Alexandria database, functional PBE.

Lattice parameters (Å, degrees): 4.5967 4.5982 8.6692 90.00 89.98 90.00
Closest atoms and distances in Å follow each position.
Fractional coordinates of all 6 atoms:
Pb (0.2497, 0.7500, 0.7786)  5 Sm 3.28-3.30, 4 Er 3.33-3.34
Er (0.7500, 0.7500, 0.5001)  4 Er 3.25, 4 Pb 3.33-3.34
Sm (0.7497, 0.2500, 0.8430)  5 Pb 3.28-3.30
Pb (0.7503, 0.2500, 0.2214)  5 Sm 3.28-3.30, 4 Er 3.33-3.34
Er (0.2500, 0.2500, 0.4999)  4 Er 3.25, 4 Pb 3.33-3.34
Sm (0.2503, 0.7500, 0.1570)  5 Pb 3.28-3.30

## Properties
E_form: -435 meV per atom
Space-group type: P4/nmm (129)
Excess energy over the best structure of this formula in the dataset: 0.0093 eV/atom

[3]
A geometry-optimized SmEr2Pb structure. Source: the Alexandria database, functional PBE.

Lattice parameters (Å, degrees): 3.6308 3.6308 9.2309 90.00 90.00 90.00
Closest atoms and distances in Å follow each position.
Fractional coordinates of all 4 atoms:
Sm (0.5000, 0.5000, 0.5000)  8 Er 3.56, 4 Sm 3.63
Er (0.0000, 0.0000, 0.2323)  4 Pb 3.35, 4 Sm 3.56, 4 Er 3.63
Pb (0.5000, 0.5000, 0.0000)  8 Er 3.35, 4 Pb 3.63
Er (0.0000, 0.0000, 0.7677)  4 Pb 3.35, 4 Sm 3.56, 4 Er 3.63

## Properties
E_form: -199 meV per atom
Space-group type: P4/mmm (123)
Excess energy over the best structure of this formula in the dataset: 0.1035 eV/atom

[4]
A geometry-optimized Sm2Er3Pb structure. Source: the Alexandria database, functional PBE.

Lattice parameters (Å, degrees): 4.9278 4.8576 7.9766 107.73 90.00 90.00
Closest atoms and distances in Å follow each position.
Fractional coordinates of all 6 atoms:
Er (0.5000, 0.1681, 0.3361)  6 Sm 3.46-3.57, 4 Er 3.48-3.52, 2 Pb 3.55
Er (0.5000, 0.5000, 0.0000)  4 Pb 3.46, 4 Sm 3.48, 4 Er 3.52
Sm (0.0000, 0.3383, 0.6766)  2 Pb 3.45, 8 Er 3.46-3.57, 2 Sm 3.62
Er (0.5000, 0.8319, 0.6639)  6 Sm 3.46-3.57, 4 Er 3.48-3.52, 2 Pb 3.55
Pb (0.0000, 0.0000, 0.0000)  4 Sm 3.45, 8 Er 3.46-3.55
Sm (0.0000, 0.6617, 0.3234)  2 Pb 3.45, 8 Er 3.46-3.57, 2 Sm 3.62

## Properties
E_form: -172 meV per atom
Space-group type: Cmmm (65)

[5]
A geometry-optimized Sm2ErPb structure. Source: the Alexandria database, functional PBE.

Lattice parameters (Å, degrees): 5.5391 5.5391 5.5391 60.00 60.00 60.00
Closest atoms and distances in Å follow each position.
Fractional coordinates of all 4 atoms:
Sm (0.7500, 0.7500, 0.7500)  4 Pb 3.39, 4 Er 3.39
Pb (0.5000, 0.5000, 0.5000)  8 Sm 3.39
Er (0.0000, 0.0000, 0.0000)  8 Sm 3.39
Sm (0.2500, 0.2500, 0.2500)  4 Pb 3.39, 4 Er 3.39

## Properties
E_form: -135 meV per atom
Space-group type: Fm-3m (225)
Excess energy over the best structure of this formula in the dataset: 0.1632 eV/atom

[6]
A geometry-optimized SmEr4Pb5 structure. Source: the Alexandria database, functional PBE.

Lattice parameters (Å, degrees): 6.2841 7.6945 7.6945 80.40 65.90 65.90
Closest atoms and distances in Å follow each position.
Fractional coordinates of all 10 atoms:
Er (0.7987, 0.8050, 0.5989)  6 Pb 3.13-3.14
Pb (0.0995, 0.5960, 0.2061)  5 Er 3.13-3.14, 1 Sm 3.19
Pb (0.5028, 0.0000, 0.0000)  4 Er 3.13, 2 Sm 3.14
Er (0.3976, 0.4011, 0.8050)  6 Pb 3.13-3.14
Pb (0.9016, 0.4040, 0.7939)  5 Er 3.13-3.14, 1 Sm 3.19
Pb (0.6955, 0.2061, 0.4040)  5 Er 3.13-3.14, 1 Sm 3.19
Er (0.2026, 0.1950, 0.4011)  6 Pb 3.13-3.14
Er (0.6037, 0.5989, 0.1950)  6 Pb 3.13-3.14
Sm (0.0026, 0.0000, 0.0000)  6 Pb 3.14-3.19
Pb (0.3056, 0.7939, 0.5960)  5 Er 3.13-3.14, 1 Sm 3.19

## Properties
E_form: -305 meV per atom
Space-group type: I4 (79)

[7]
A geometry-optimized SmErPb2 structure. Source: the Alexandria database, functional PBE.

Lattice parameters (Å, degrees): 4.4754 5.0524 5.0524 90.00 90.00 90.00
Closest atoms and distances in Å follow each position.
Fractional coordinates of all 4 atoms:
Pb (0.0000, 0.0000, 0.5000)  4 Er 3.37, 4 Sm 3.37, 4 Pb 3.57
Sm (0.5000, 0.0000, 0.0000)  8 Pb 3.37, 4 Er 3.57
Er (0.5000, 0.5000, 0.5000)  8 Pb 3.37, 4 Sm 3.57
Pb (0.0000, 0.5000, 0.0000)  4 Er 3.37, 4 Sm 3.37, 4 Pb 3.57

## Properties
E_form: -438 meV per atom
Space-group type: P4/mmm (123)

[8]
A geometry-optimized SmEr2Pb structure. Source: the Alexandria database, functional PBE.

Lattice parameters (Å, degrees): 4.8391 4.8753 4.8753 90.00 90.00 90.00
Closest atoms and distances in Å follow each position.
Fractional coordinates of all 4 atoms:
Er (0.0000, 0.0000, 0.5000)  4 Pb 3.43, 4 Sm 3.43, 4 Er 3.45
Pb (0.5000, 0.0000, 0.0000)  8 Er 3.43, 4 Sm 3.45
Er (0.0000, 0.5000, 0.0000)  4 Pb 3.43, 4 Sm 3.43, 4 Er 3.45
Sm (0.5000, 0.5000, 0.5000)  8 Er 3.43, 4 Pb 3.45

## Properties
E_form: -275 meV per atom
Space-group type: P4/mmm (123)
Excess energy over the best structure of this formula in the dataset: 0.0275 eV/atom

[9]
A geometry-optimized SmEr2Pb9 structure. Source: the Alexandria database, functional PBE.

Lattice parameters (Å, degrees): 4.8856 4.8856 14.6311 90.00 90.00 90.00
Closest atoms and distances in Å follow each position.
Fractional coordinates of all 12 atoms:
Pb (0.5000, 0.0000, 0.8305)  2 Er 3.42, 8 Pb 3.44-3.48, 2 Sm 3.48
Er (0.0000, 0.0000, 0.6666)  12 Pb 3.42-3.45
Pb (0.5000, 0.0000, 0.5000)  8 Pb 3.44-3.45, 4 Er 3.45
Pb (0.5000, 0.0000, 0.1695)  2 Er 3.42, 8 Pb 3.44-3.48, 2 Sm 3.48
Pb (0.0000, 0.5000, 0.5000)  8 Pb 3.44-3.45, 4 Er 3.45
Pb (0.5000, 0.5000, 0.6652)  8 Pb 3.44, 4 Er 3.45
Sm (0.0000, 0.0000, 0.0000)  12 Pb 3.45-3.48
Pb (0.0000, 0.5000, 0.8305)  2 Er 3.42, 8 Pb 3.44-3.48, 2 Sm 3.48
Pb (0.5000, 0.5000, 0.0000)  4 Sm 3.45, 8 Pb 3.48
Pb (0.5000, 0.5000, 0.3348)  8 Pb 3.44, 4 Er 3.45
Er (0.0000, 0.0000, 0.3334)  12 Pb 3.42-3.45
Pb (0.0000, 0.5000, 0.1695)  2 Er 3.42, 8 Pb 3.44-3.48, 2 Sm 3.48

## Properties
E_form: -274 meV per atom
Space-group type: P4/mmm (123)

[10]
A geometry-optimized SmErPb2 structure. Source: the Alexandria database, functional PBE.

Lattice parameters (Å, degrees): 4.7847 4.7847 7.2444 70.72 70.72 60.00
Closest atoms and distances in Å follow each position.
Fractional coordinates of all 4 atoms:
Er (0.4937, 0.4937, 0.5189)  6 Pb 3.13-3.27
Sm (0.6714, 0.6714, 0.9858)  6 Pb 3.22-3.31, 1 Er 3.57
Pb (0.0872, 0.0872, 0.7383)  3 Er 3.13, 3 Sm 3.22, 1 Pb 3.22
Pb (0.2477, 0.2477, 0.2570)  1 Pb 3.22, 3 Er 3.27, 3 Sm 3.31

## Properties
E_form: -332 meV per atom
Space-group type: R3m (160)

[11]
A geometry-optimized Sm2ErPb structure. Source: the Alexandria database, functional PBE.

Lattice parameters (Å, degrees): 3.4533 5.6853 13.5688 90.00 97.31 90.00
Closest atoms and distances in Å follow each position.
Fractional coordinates of all 8 atoms:
Pb (0.6973, 0.7500, 0.3947)  7 Sm 3.19-3.35, 2 Pb 3.45
Sm (0.9068, 0.2500, 0.8137)  2 Pb 3.29, 3 Er 3.29-3.32, 2 Sm 3.45
Er (0.9708, 0.7500, 0.9416)  4 Er 3.25-3.45, 3 Sm 3.29-3.32
Sm (0.1841, 0.2500, 0.3682)  5 Pb 3.19-3.35, 2 Sm 3.45
Sm (0.8159, 0.7500, 0.6318)  5 Pb 3.19-3.35, 2 Sm 3.45
Er (0.0292, 0.2500, 0.0584)  4 Er 3.25-3.45, 3 Sm 3.29-3.32
Pb (0.3027, 0.2500, 0.6053)  7 Sm 3.19-3.35, 2 Pb 3.45
Sm (0.0932, 0.7500, 0.1863)  2 Pb 3.29, 3 Er 3.29-3.32, 2 Sm 3.45

## Properties
E_form: 53 meV per atom
Space-group type: Cmcm (63)
Excess energy over the best structure of this formula in the dataset: 0.3508 eV/atom

[12]
A geometry-optimized Sm4ErPb5 structure. Source: the Alexandria database, functional PBE.

Lattice parameters (Å, degrees): 6.3726 7.8092 7.8092 80.42 65.92 65.92
Closest atoms and distances in Å follow each position.
Fractional coordinates of all 10 atoms:
Pb (0.9002, 0.3959, 0.8047)  1 Er 3.15, 5 Sm 3.19-3.21
Er (0.0028, 0.0000, 0.0000)  6 Pb 3.15-3.19
Sm (0.5980, 0.6016, 0.2035)  6 Pb 3.19-3.21
Pb (0.2961, 0.8047, 0.6041)  1 Er 3.15, 5 Sm 3.19-3.21
Sm (0.4031, 0.3984, 0.7965)  6 Pb 3.19-3.21
Sm (0.1996, 0.2035, 0.3984)  6 Pb 3.19-3.21
Pb (0.7049, 0.1953, 0.3959)  1 Er 3.15, 5 Sm 3.19-3.21
Pb (0.5032, 0.0000, 0.0000)  2 Er 3.18-3.19, 4 Sm 3.19
Sm (0.8015, 0.7965, 0.6016)  6 Pb 3.19-3.21
Pb (0.1008, 0.6041, 0.1953)  1 Er 3.15, 5 Sm 3.19-3.21

## Properties
E_form: -371 meV per atom
Space-group type: I4 (79)